Here is a geometry-optimized Pu2Be3FeGe4 structure from Alexandria via LeMat-Bulk. Energies are from PBE.

Calculated values
density: 9.08 Mg/m³
electronic total energy: -6.938 eV/atom

a = 4.0659 Å, b = 4.0659 Å, c = 9.5344 Å
α = 90.00°, β = 90.00°, γ = 90.00°
Element x y z (fractional)
Pu1 0.0000 0.5000 0.2455
Pu2 0.5000 0.0000 0.7545
Be1 0.0000 0.0000 0.0000
Be2 0.0000 0.5000 0.6302
Be3 0.5000 0.0000 0.3698
Fe1 0.5000 0.5000 0.0000
Ge1 0.0000 0.0000 0.5000
Ge2 0.0000 0.5000 0.8663
Ge3 0.5000 0.0000 0.1337
Ge4 0.5000 0.5000 0.5000